a | CaAl2Mo | PBE | relaxed

Lattice parameters (Å, degrees): 4.7268 2.9455 5.4054 84.52 90.00 90.00
Atoms (fractional coordinates):
Mo 0.5000 0.7193 0.8147
Ca 0.0000 0.5623 0.4727
Al 0.0000 0.1107 0.9623
Al 0.5000 0.1076 0.2503

Values from the calculation:
**Density of states at the Fermi level**: 0.8564 states/eV per atom
**SG**: Pm (6)
**Mass density**: 4.21 g cm⁻³

b | CaAl2Mo | PBE | relaxed

Lattice parameters (Å, degrees): 4.7035 4.7035 4.7035 60.00 60.00 60.00
Atoms (fractional coordinates):
Mo 0.7500 0.7500 0.7500
Ca 0.5000 0.5000 0.5000
Al 0.0000 0.0000 0.0000
Al 0.2500 0.2500 0.2500

Values from the calculation:
**Density of states at the Fermi level**: 0.9448 states/eV per atom
**SG**: F-43m (216)
**Mass density**: 4.29 g cm⁻³

Need the numbers? Relative energies in kJ/mol of atoms: a 0.0; b 25.3.

a | CaAl2Mo | PBE | relaxed

Lattice parameters (Å, degrees): 5.1999 5.1999 2.8848 89.98 89.98 110.26
Atoms (fractional coordinates):
Mo 0.0000 0.5000 0.5000
Ca 0.5000 0.0000 0.5000
Al 0.0000 0.0000 0.0000
Al 0.5000 0.5000 0.0000

Values from the calculation:
**Density of states at the Fermi level**: 0.7582 states/eV per atom
**SG**: Cmmm (65)
**Mass density**: 4.31 g cm⁻³

b | CaAl2Mo | PBE | relaxed

Lattice parameters (Å, degrees): 3.3776 3.3776 6.7546 90.00 90.00 90.00
Atoms (fractional coordinates):
Mo 0.5000 0.5000 0.7500
Ca 0.5000 0.5000 0.2500
Al 0.0000 0.0000 0.9416
Al 0.0000 0.0000 0.5584

Values from the calculation:
**Density of states at the Fermi level**: 0.3928 states/eV per atom
**SG**: P4/mmm (123)
**Mass density**: 4.09 g cm⁻³

Need the numbers? Relative energies in kJ/mol of atoms: a 25.2; b 0.0.

a | CaAlMo | PBE | relaxed

Lattice parameters (Å, degrees): 4.8146 4.8146 4.8146 60.00 60.00 60.00
Atoms (fractional coordinates):
Mo 0.0000 0.0000 0.0000
Ca 0.7500 0.7500 0.7500
Al 0.5000 0.5000 0.5000

Values from the calculation:
**Density of states at the Fermi level**: 0.2056 states/eV per atom
**SG**: F-43m (216)
**Mass density**: 3.43 g cm⁻³

b | CaAlMo | PBE | relaxed

Lattice parameters (Å, degrees): 3.0612 3.0612 7.3910 90.00 90.00 120.00
Atoms (fractional coordinates):
Mo 0.3333 0.6667 0.6881
Ca 0.6667 0.3333 0.3403
Al 0.0000 0.0000 0.9716

Values from the calculation:
**Density of states at the Fermi level**: 0.7097 states/eV per atom
**SG**: P3m1 (156)
**Mass density**: 4.51 g cm⁻³

c | CaAlMo | PBE | relaxed

Lattice parameters (Å, degrees): 5.8799 5.8799 5.8799 150.63 141.12 49.47
Atoms (fractional coordinates):
Mo 0.6318 0.6318 0.0000
Ca 0.3311 0.3311 0.0000
Al 0.0371 0.0371 0.0000

Values from the calculation:
**Density of states at the Fermi level**: 0.9185 states/eV per atom
**SG**: Imm2 (44)
**Mass density**: 4.34 g cm⁻³

Need the numbers? Relative energies in kJ/mol of atoms: a 108.0; b 18.7; c 0.0.

a | Ca3AlMo | PBE | relaxed

Lattice parameters (Å, degrees): 5.7852 5.7852 5.7852 90.00 90.00 90.00
Atoms (fractional coordinates):
Mo 0.5000 0.5000 0.5000
Ca 0.0000 0.5000 0.0000
Ca 0.0000 0.0000 0.5000
Ca 0.5000 0.0000 0.0000
Al 0.0000 0.0000 0.0000

Values from the calculation:
**Density of states at the Fermi level**: 0.3867 states/eV per atom
**SG**: Pm-3m (221)
**Mass density**: 2.09 g cm⁻³

b | Ca3AlMo | PBE | relaxed

Lattice parameters (Å, degrees): 5.5066 5.5066 5.5066 90.00 90.00 90.00
Atoms (fractional coordinates):
Mo 0.0000 0.0000 0.0000
Ca 0.0000 0.5000 0.0000
Ca 0.0000 0.0000 0.5000
Ca 0.5000 0.0000 0.0000
Al 0.5000 0.5000 0.5000

Values from the calculation:
**Density of states at the Fermi level**: 0.9165 states/eV per atom
**SG**: Pm-3m (221)
**Mass density**: 2.42 g cm⁻³

Need the numbers? Relative energies in kJ/mol of atoms: a 5.0; b 0.0.

a | CaAlRe2Mo | PBE | relaxed

Lattice parameters (Å, degrees): 4.7857 4.8931 4.7857 90.00 90.00 90.00
Atoms (fractional coordinates):
Re 0.0000 0.0000 0.5000
Re 0.5000 0.0000 0.0000
Mo 0.0000 0.0000 0.0000
Ca 0.5000 0.5000 0.5000
Al 0.0000 0.5000 0.0000

Values from the calculation:
**Density of states at the Fermi level**: 1.0114 states/eV per atom
**SG**: P4/mmm (123)
**Mass density**: 7.93 g cm⁻³

b | CaAlRe2Mo | PBE | relaxed

Lattice parameters (Å, degrees): 4.7316 5.2111 4.7316 90.00 90.00 90.00
Atoms (fractional coordinates):
Re 0.0000 0.0000 0.5000
Re 0.5000 0.0000 0.0000
Mo 0.0000 0.0000 0.0000
Ca 0.0000 0.5000 0.0000
Al 0.5000 0.5000 0.5000

Values from the calculation:
**Density of states at the Fermi level**: 1.3608 states/eV per atom
**SG**: P4/mmm (123)
**Mass density**: 7.62 g cm⁻³

Need the numbers? Relative energies in kJ/mol of atoms: a 0.0; b 48.2.

a | Ca3AlN3 | PBE | relaxed

Lattice parameters (Å, degrees): 6.1481 6.9008 9.8433 86.20 90.00 90.00
Atoms (fractional coordinates):
Ca 0.7846 0.6450 0.3058
Ca 0.2846 0.3550 0.1942
Ca 0.2154 0.3550 0.6942
Ca 0.7154 0.6450 0.8058
Ca 0.7965 0.3698 0.0768
Ca 0.2965 0.6302 0.4232
Ca 0.2035 0.6302 0.9232
Ca 0.7035 0.3698 0.5768
Ca 0.6410 0.0757 0.3494
Ca 0.1410 0.9243 0.1506
Ca 0.3590 0.9243 0.6506
Ca 0.8590 0.0757 0.8494
Al 0.9090 0.8401 0.5609
Al 0.4090 0.1599 0.9391
Al 0.0910 0.1599 0.4391
Al 0.5910 0.8401 0.0609
N 0.5675 0.3369 0.8208
N 0.0675 0.6631 0.6792
N 0.4325 0.6631 0.1792
N 0.9325 0.3369 0.3208
N 0.6238 0.7410 0.5296
N 0.1238 0.2590 0.9704
N 0.3762 0.2590 0.4704
N 0.8762 0.7410 0.0296
N 0.5385 0.1049 0.1172
N 0.0385 0.8951 0.3828
N 0.4615 0.8951 0.8828
N 0.9615 0.1049 0.6172

Values from the calculation:
**Density of states at the Fermi level**: 0.0000 states/eV per atom
**SG**: P2_1/c (14)
**Mass density**: 3.02 g cm⁻³

b | Ca3AlN3 | PBE | relaxed

Lattice parameters (Å, degrees): 3.7407 6.1755 6.1755 116.03 101.65 101.65
Atoms (fractional coordinates):
Ca 0.4920 0.4570 0.4570
Ca 0.0350 0.0000 0.5430
Ca 0.0350 0.5430 0.0000
Al 0.3967 0.0000 0.0000
N 0.1361 0.6961 0.6961
N 0.4401 0.0000 0.3039
N 0.4401 0.3039 0.0000

Values from the calculation:
**SG**: R3m (160)
**Mass density**: 2.65 g cm⁻³

c | Ca3AlN3 | PBE | relaxed

Lattice parameters (Å, degrees): 5.5681 8.0166 9.7342 90.00 90.00 110.32
Atoms (fractional coordinates):
Ca 0.6290 0.0000 0.8388
Ca 0.8710 0.0000 0.3388
Ca 0.1290 0.0000 0.6612
Ca 0.3710 0.0000 0.1612
Ca 0.9635 0.6368 0.3644
Ca 0.5365 0.3632 0.8644
Ca 0.8266 0.3632 0.1356
Ca 0.6734 0.6368 0.6356
Ca 0.0365 0.3632 0.6356
Ca 0.4635 0.6368 0.1356
Ca 0.1734 0.6368 0.8644
Ca 0.3266 0.3632 0.3644
Al 0.4132 0.8264 0.5000
Al 0.0868 0.1736 0.0000
Al 0.5868 0.1736 0.5000
Al 0.9132 0.8264 0.0000
N 0.2031 0.0000 0.9069
N 0.2969 0.0000 0.4069
N 0.7031 0.0000 0.5931
N 0.7969 0.0000 0.0931
N 0.5500 0.6865 0.3838
N 0.9500 0.3135 0.8838
N 0.3635 0.3135 0.1162
N 0.1365 0.6865 0.6162
N 0.4500 0.3135 0.6162
N 0.0500 0.6865 0.1162
N 0.6365 0.6865 0.8838
N 0.8635 0.3135 0.3838

Values from the calculation:
**Density of states at the Fermi level**: 0.0000 states/eV per atom
**SG**: Cmce (64)
**Mass density**: 3.08 g cm⁻³

Need the numbers? Relative energies in kJ/mol of atoms: a 0.0; b 11.2; c 5.2.

a | CaAlTeN2 | PBE | relaxed

Lattice parameters (Å, degrees): 4.5292 4.5292 6.3938 90.00 90.00 90.00
Atoms (fractional coordinates):
Ca 0.0000 0.0000 0.0000
Te 0.0000 0.0000 0.5000
Al 0.5000 0.5000 0.5000
N 0.0000 0.5000 0.0000
N 0.5000 0.0000 0.0000

Values from the calculation:
**Density of states at the Fermi level**: 0.5122 states/eV per atom
**SG**: P4/mmm (123)
**Mass density**: 2.82 g cm⁻³

b | CaAlTeN2 | PBE | relaxed

Lattice parameters (Å, degrees): 4.0901 4.0901 5.6179 90.00 90.00 90.00
Atoms (fractional coordinates):
Ca 0.5000 0.5000 0.5000
Te 0.0000 0.0000 0.5000
Al 0.0000 0.0000 0.0000
N 0.0000 0.5000 0.0000
N 0.5000 0.0000 0.0000

Values from the calculation:
**Density of states at the Fermi level**: 0.4488 states/eV per atom
**SG**: P4/mmm (123)
**Mass density**: 3.93 g cm⁻³

Need the numbers? Relative energies in kJ/mol of atoms: a 94.0; b 0.0.

a | Na2Ca2Al | PBE | relaxed

Lattice parameters (Å, degrees): 8.2076 8.2076 5.6191 90.00 90.00 90.00
Atoms (fractional coordinates):
Na 0.1583 0.6583 0.5000
Na 0.6583 0.8417 0.5000
Na 0.8417 0.3417 0.5000
Na 0.3417 0.1583 0.5000
Ca 0.3394 0.8394 0.0000
Ca 0.8394 0.6606 0.0000
Ca 0.6606 0.1606 0.0000
Ca 0.1606 0.3394 0.0000
Al 0.0000 0.0000 0.0000
Al 0.5000 0.5000 0.0000

Values from the calculation:
**Density of states at the Fermi level**: 0.8203 states/eV per atom
**SG**: P4/mbm (127)
**Mass density**: 1.34 g cm⁻³

b | Na2Ca2Al | PBE | relaxed

Lattice parameters (Å, degrees): 7.8607 7.8607 5.1613 90.00 90.00 90.00
Atoms (fractional coordinates):
Na 0.3689 0.8689 0.0000
Na 0.8689 0.6311 0.0000
Na 0.6311 0.1311 0.0000
Na 0.1311 0.3689 0.0000
Ca 0.1903 0.6903 0.5000
Ca 0.6903 0.8097 0.5000
Ca 0.8097 0.3097 0.5000
Ca 0.3097 0.1903 0.5000
Al 0.0000 0.0000 0.0000
Al 0.5000 0.5000 0.0000

Values from the calculation:
**Density of states at the Fermi level**: 0.7791 states/eV per atom
**SG**: P4/mbm (127)
**Mass density**: 1.59 g cm⁻³

Need the numbers? Relative energies in kJ/mol of atoms: a 3.8; b 0.0.

a | NaCaAl3 | PBE | relaxed

Lattice parameters (Å, degrees): 5.1280 5.1280 5.1280 90.00 90.00 90.00
Atoms (fractional coordinates):
Na 0.0000 0.0000 0.0000
Ca 0.5000 0.5000 0.5000
Al 0.0000 0.5000 0.0000
Al 0.0000 0.0000 0.5000
Al 0.5000 0.0000 0.0000

Values from the calculation:
**Density of states at the Fermi level**: 0.7331 states/eV per atom
**SG**: Pm-3m (221)
**Mass density**: 1.77 g cm⁻³

b | NaCaAl3 | PBE | relaxed

Lattice parameters (Å, degrees): 5.6918 5.6918 5.6918 90.00 90.00 90.00
Atoms (fractional coordinates):
Na 0.5000 0.5000 0.5000
Ca 0.0000 0.0000 0.0000
Al 0.0000 0.5000 0.0000
Al 0.0000 0.0000 0.5000
Al 0.5000 0.0000 0.0000

Values from the calculation:
**Density of states at the Fermi level**: 1.0001 states/eV per atom
**SG**: Pm-3m (221)
**Mass density**: 1.30 g cm⁻³

Need the numbers? Relative energies in kJ/mol of atoms: a 0.0; b 24.7.

a | NaCa3Al | PBE | relaxed

Lattice parameters (Å, degrees): 5.8178 5.8178 5.8178 90.00 90.00 90.00
Atoms (fractional coordinates):
Na 0.0000 0.0000 0.0000
Ca 0.0000 0.5000 0.0000
Ca 0.0000 0.0000 0.5000
Ca 0.5000 0.0000 0.0000
Al 0.5000 0.5000 0.5000

Values from the calculation:
**Density of states at the Fermi level**: 1.0738 states/eV per atom
**SG**: Pm-3m (221)
**Mass density**: 1.44 g cm⁻³

b | NaCa3Al | PBE | relaxed

Lattice parameters (Å, degrees): 5.9775 5.9775 5.9775 90.00 90.00 90.00
Atoms (fractional coordinates):
Na 0.5000 0.5000 0.5000
Ca 0.0000 0.5000 0.0000
Ca 0.0000 0.0000 0.5000
Ca 0.5000 0.0000 0.0000
Al 0.0000 0.0000 0.0000

Values from the calculation:
**Density of states at the Fermi level**: 0.0575 states/eV per atom
**SG**: Pm-3m (221)
**Mass density**: 1.32 g cm⁻³

Need the numbers? Relative energies in kJ/mol of atoms: a 52.5; b 0.0.